[1]
A plane-wave DFT calculation with PBE was carried out for a geometry-optimized HfBe2VSe structure.

Summary:
calculated total energy	-4.8094	eV/atom
space group	No. 123
uncorrected formation energy	1192	meV/atom
size of the total moment	3.4	μB/f.u.
mass density	5.04	Mg/m³

Unit cell a=4.6567 b=4.9581 c=4.6567 alpha=90.00 beta=90.00 gamma=90.00
With the nearest neighbours (Å) after each atom.
Element x y z (fractional)
Be: 0.0000 0.0000 0.5000  2 Hf 2.33
Be: 0.5000 0.0000 0.0000  2 Hf 2.33
Hf: 0.0000 0.0000 0.0000  4 Be 2.33, 2 Se 2.48
Se: 0.0000 0.5000 0.0000  2 Hf 2.48
V: 0.5000 0.5000 0.5000  4 Se 3.29, 8 Be 3.40

***

[2]
A plane-wave DFT calculation with PBE was carried out for a geometry-optimized ScHg2 structure.

Summary:
calculated total energy	-2.4235	eV/atom
space group	No. 140
energy of formation from the pure elements	-0.112	eV per atom
size of the total moment	0.0	μB/f.u.
mass density	9.88	Mg/m³

Unit cell a=5.8026 b=5.8026 c=5.8026 alpha=107.75 beta=107.75 gamma=112.97
With the nearest neighbours (Å) after each atom.
Element x y z (fractional)
Sc: 0.7500 0.7500 0.0000  8 Hg 3.03, 2 Sc 3.20
Sc: 0.2500 0.2500 0.0000  8 Hg 3.03, 2 Sc 3.20
Hg: 0.6595 0.1595 0.8190  4 Sc 3.03, 1 Hg 3.09
Hg: 0.1595 0.3405 0.5000  4 Sc 3.03, 1 Hg 3.09
Hg: 0.8405 0.6595 0.5000  4 Sc 3.03, 1 Hg 3.09
Hg: 0.3405 0.8405 0.1810  4 Sc 3.03, 1 Hg 3.09

***

[3]
A plane-wave DFT calculation with PBE was carried out for a geometry-optimized ThCdHg4 structure.

Summary:
calculated total energy	-1.7334	eV/atom
space group	No. 12
polymorph energy (0 for the lowest one)	0.000	eV/atom
energy of formation from the pure elements	-0.143	eV per atom
size of the total moment	0.0	μB/f.u.
mass density	12.66	Mg/m³

Unit cell a=5.0325 b=5.0325 c=6.8571 alpha=87.24 beta=87.24 gamma=119.56
With the nearest neighbours (Å) after each atom.
Element x y z (fractional)
Th: 0.0000 0.5000 0.5000  12 Hg 3.34-3.38, 2 Cd 3.43
Cd: 0.0000 0.5000 0.0000  8 Hg 3.18-3.39, 2 Th 3.43
Hg: 0.3037 0.1387 0.7444  3 Hg 2.91, 1 Cd 3.18
Hg: 0.6387 0.8037 0.7444  3 Hg 2.91, 1 Cd 3.18
Hg: 0.3613 0.1963 0.2556  3 Hg 2.91, 1 Cd 3.18
Hg: 0.6963 0.8613 0.2556  3 Hg 2.91, 1 Cd 3.18